Below is crystalline ErMg2Cu9 at its relaxed geometry, with properties calculated at the PBE level.

Output
Its energy is -46.666 eV/cell. The calculation puts the density of states at the Fermi level at 8.12 states/eV/f.u. For the spin magnetization, the calculation gives 0.00 Bohr magnetons per cell. The symmetry is No. 166.

Cell and atoms, written as CIF:
```
data_ErMg2Cu9
_cell_length_a 8.546
_cell_length_b 8.546
_cell_length_c 8.546
_cell_angle_alpha 34.19
_cell_angle_beta 34.19
_cell_angle_gamma 34.19
_space_group_name_H-M_alt 'P 1'
_space_group_IT_number 1
loop_
_space_group_symop_operation_xyz
'x,y,z'
loop_
_atom_site_label
_atom_site_type_symbol
_atom_site_fract_x
_atom_site_fract_y
_atom_site_fract_z
Er1 Er 0.000 0.000 0.000
Mg1 Mg 0.145 0.145 0.145
Mg2 Mg 0.855 0.855 0.855
Cu1 Cu 0.082 0.586 0.586
Cu2 Cu 0.333 0.333 0.333
Cu3 Cu 0.414 0.414 0.918
Cu4 Cu 0.414 0.918 0.414
Cu5 Cu 0.500 0.500 0.500
Cu6 Cu 0.586 0.082 0.586
Cu7 Cu 0.586 0.586 0.082
Cu8 Cu 0.667 0.667 0.667
Cu9 Cu 0.918 0.414 0.414
```


Below is crystalline MgBi at its relaxed geometry, with properties calculated at the PBE level.

Output
Its energy is -17.079 eV/cell. The calculation puts the density of states at the Fermi level at 0.54 states/eV/f.u. For the spin magnetization, the calculation gives 0.00 Bohr magnetons per cell. The symmetry is No. 5.

Cell and atoms, written as CIF:
```
data_MgBi
_cell_length_a 6.267
_cell_length_b 6.267
_cell_length_c 4.967
_cell_angle_alpha 101.55
_cell_angle_beta 101.55
_cell_angle_gamma 75.29
_space_group_name_H-M_alt 'P 1'
_space_group_IT_number 1
loop_
_space_group_symop_operation_xyz
'x,y,z'
loop_
_atom_site_label
_atom_site_type_symbol
_atom_site_fract_x
_atom_site_fract_y
_atom_site_fract_z
Mg1 Mg 0.000 0.000 0.000
Mg2 Mg 0.347 0.090 0.565
Mg3 Mg 0.910 0.653 0.435
Bi1 Bi 0.178 0.492 0.963
Bi2 Bi 0.508 0.822 0.037
Bi3 Bi 0.794 0.206 0.500
```


Below is crystalline K2Pu2I2Cl5 at its relaxed geometry, with properties calculated at the PBE level.

Output
Its energy is -62.265 eV/cell. The calculation puts the density of states at the Fermi level at 29.92 states/eV/f.u. For the spin magnetization, the calculation gives 11.00 Bohr magnetons per cell. The symmetry is No. 139.

Cell and atoms, written as CIF:
```
data_K2Pu2I2Cl5
_cell_length_a 15.251
_cell_length_b 15.251
_cell_length_c 15.251
_cell_angle_alpha 159.25
_cell_angle_beta 159.25
_cell_angle_gamma 29.51
_space_group_name_H-M_alt 'P 1'
_space_group_IT_number 1
loop_
_space_group_symop_operation_xyz
'x,y,z'
loop_
_atom_site_label
_atom_site_type_symbol
_atom_site_fract_x
_atom_site_fract_y
_atom_site_fract_z
K1 K 0.177 0.177 0.000
K2 K 0.823 0.823 0.000
Pu1 Pu 0.407 0.407 0.000
Pu2 Pu 0.593 0.593 0.000
I1 I 0.299 0.299 0.000
I2 I 0.701 0.701 0.000
Cl1 Cl 0.103 0.603 0.500
Cl2 Cl 0.397 0.897 0.500
Cl3 Cl 0.500 0.500 0.000
Cl4 Cl 0.603 0.103 0.500
Cl5 Cl 0.897 0.397 0.500
```


Below is crystalline CaBe2Os2 at its relaxed geometry, with properties calculated at the PBE level.

Output
Its energy is -31.099 eV/cell. The calculation puts the density of states at the Fermi level at 4.31 states/eV/f.u. For the spin magnetization, the calculation gives 0.00 Bohr magnetons per cell. The value obtained for the energy relative to the lowest polymorph listed for this composition is 16 meV/atom. The symmetry is No. 139.

Cell and atoms, written as CIF:
```
data_CaBe2Os2
_cell_length_a 5.270
_cell_length_b 5.270
_cell_length_c 5.270
_cell_angle_alpha 132.95
_cell_angle_beta 132.95
_cell_angle_gamma 68.74
_space_group_name_H-M_alt 'P 1'
_space_group_IT_number 1
loop_
_space_group_symop_operation_xyz
'x,y,z'
loop_
_atom_site_label
_atom_site_type_symbol
_atom_site_fract_x
_atom_site_fract_y
_atom_site_fract_z
Ca1 Ca 0.000 0.000 0.000
Be1 Be 0.250 0.750 0.500
Be2 Be 0.750 0.250 0.500
Os1 Os 0.363 0.363 0.000
Os2 Os 0.637 0.637 0.000
```


Below is crystalline ErTmAlFe at its relaxed geometry, with properties calculated at the PBE level.

Output
Its energy is -21.660 eV/cell. The calculation puts the density of states at the Fermi level at 6.64 states/eV/f.u. For the spin magnetization, the calculation gives 1.15 Bohr magnetons per cell. The symmetry is No. 216.

Cell and atoms, written as CIF:
```
data_ErTmAlFe
_cell_length_a 4.906
_cell_length_b 4.906
_cell_length_c 4.906
_cell_angle_alpha 60.00
_cell_angle_beta 60.00
_cell_angle_gamma 60.00
_space_group_name_H-M_alt 'P 1'
_space_group_IT_number 1
loop_
_space_group_symop_operation_xyz
'x,y,z'
loop_
_atom_site_label
_atom_site_type_symbol
_atom_site_fract_x
_atom_site_fract_y
_atom_site_fract_z
Er1 Er 0.000 0.000 0.000
Tm1 Tm 0.500 0.500 0.500
Al1 Al 0.250 0.250 0.250
Fe1 Fe 0.750 0.750 0.750
```


Below is crystalline Ta2BeSi at its relaxed geometry, with properties calculated at the PBE level.

Output
Its energy is -32.811 eV/cell. The calculation puts the density of states at the Fermi level at 1.85 states/eV/f.u. For the spin magnetization, the calculation gives 0.00 Bohr magnetons per cell. The value obtained for the energy relative to the lowest polymorph listed for this composition is 578 meV/atom. The symmetry is No. 99.

Cell and atoms, written as CIF:
```
data_Ta2BeSi
_cell_length_a 3.418
_cell_length_b 3.418
_cell_length_c 5.300
_cell_angle_alpha 90.00
_cell_angle_beta 90.00
_cell_angle_gamma 90.00
_space_group_name_H-M_alt 'P 1'
_space_group_IT_number 1
loop_
_space_group_symop_operation_xyz
'x,y,z'
loop_
_atom_site_label
_atom_site_type_symbol
_atom_site_fract_x
_atom_site_fract_y
_atom_site_fract_z
Ta1 Ta 0.000 0.000 0.000
Ta2 Ta 0.500 0.500 0.261
Be1 Be 0.000 0.000 0.492
Si1 Si 0.500 0.500 0.749
```


Below is crystalline Ti2AlAu2 at its relaxed geometry, with properties calculated at the PBE level.

Output
Its energy is -55.375 eV/cell. The calculation puts the density of states at the Fermi level at 3.47 states/eV/f.u. For the spin magnetization, the calculation gives 0.00 Bohr magnetons per cell. The value obtained for the energy relative to the lowest polymorph listed for this composition is 0 meV/atom. The symmetry is No. 127.

Cell and atoms, written as CIF:
```
data_Ti2AlAu2
_cell_length_a 7.055
_cell_length_b 7.055
_cell_length_c 3.565
_cell_angle_alpha 90.00
_cell_angle_beta 90.00
_cell_angle_gamma 90.00
_space_group_name_H-M_alt 'P 1'
_space_group_IT_number 1
loop_
_space_group_symop_operation_xyz
'x,y,z'
loop_
_atom_site_label
_atom_site_type_symbol
_atom_site_fract_x
_atom_site_fract_y
_atom_site_fract_z
Ti1 Ti 0.168 0.332 0.000
Ti2 Ti 0.332 0.832 0.000
Ti3 Ti 0.668 0.168 0.000
Ti4 Ti 0.832 0.668 0.000
Al1 Al 0.000 0.000 0.500
Al2 Al 0.500 0.500 0.500
Au1 Au 0.137 0.637 0.500
Au2 Au 0.363 0.137 0.500
Au3 Au 0.637 0.863 0.500
Au4 Au 0.863 0.363 0.500
```


Below is crystalline InCuHg2As at its relaxed geometry, with properties calculated at the PBE level.

Output
Its energy is -9.948 eV/cell. The calculation puts the density of states at the Fermi level at 3.72 states/eV/f.u. For the spin magnetization, the calculation gives 0.00 Bohr magnetons per cell. The value obtained for the energy relative to the lowest polymorph listed for this composition is 0 meV/atom. The symmetry is No. 123.

Cell and atoms, written as CIF:
```
data_InCuHg2As
_cell_length_a 4.977
_cell_length_b 4.977
_cell_length_c 5.174
_cell_angle_alpha 90.00
_cell_angle_beta 90.00
_cell_angle_gamma 90.00
_space_group_name_H-M_alt 'P 1'
_space_group_IT_number 1
loop_
_space_group_symop_operation_xyz
'x,y,z'
loop_
_atom_site_label
_atom_site_type_symbol
_atom_site_fract_x
_atom_site_fract_y
_atom_site_fract_z
In1 In 0.000 0.000 0.000
Cu1 Cu 0.000 0.000 0.500
Hg1 Hg 0.000 0.500 0.500
Hg2 Hg 0.500 0.000 0.500
As1 As 0.500 0.500 0.000
```


Below is crystalline CuW2Br at its relaxed geometry, with properties calculated at the PBE level.

Output
Its energy is -27.479 eV/cell. The calculation puts the density of states at the Fermi level at 3.38 states/eV/f.u. For the spin magnetization, the calculation gives 0.00 Bohr magnetons per cell. The value obtained for the energy relative to the lowest polymorph listed for this composition is 522 meV/atom. The symmetry is No. 71.

Cell and atoms, written as CIF:
```
data_CuW2Br
_cell_length_a 5.487
_cell_length_b 5.487
_cell_length_c 5.487
_cell_angle_alpha 148.16
_cell_angle_beta 130.43
_cell_angle_gamma 60.13
_space_group_name_H-M_alt 'P 1'
_space_group_IT_number 1
loop_
_space_group_symop_operation_xyz
'x,y,z'
loop_
_atom_site_label
_atom_site_type_symbol
_atom_site_fract_x
_atom_site_fract_y
_atom_site_fract_z
Cu1 Cu 0.000 0.000 0.000
W1 W 0.256 0.756 0.500
W2 W 0.744 0.244 0.500
Br1 Br 0.500 0.500 0.000
```


Below is crystalline Mg2GeIr at its relaxed geometry, with properties calculated at the PBE level.

Output
Its energy is -17.681 eV/cell. The calculation puts the density of states at the Fermi level at 1.29 states/eV/f.u. For the spin magnetization, the calculation gives 0.00 Bohr magnetons per cell. The symmetry is No. 123.

Cell and atoms, written as CIF:
```
data_Mg2GeIr
_cell_length_a 3.275
_cell_length_b 3.275
_cell_length_c 6.203
_cell_angle_alpha 90.00
_cell_angle_beta 90.00
_cell_angle_gamma 90.00
_space_group_name_H-M_alt 'P 1'
_space_group_IT_number 1
loop_
_space_group_symop_operation_xyz
'x,y,z'
loop_
_atom_site_label
_atom_site_type_symbol
_atom_site_fract_x
_atom_site_fract_y
_atom_site_fract_z
Mg1 Mg 0.000 0.000 0.230
Mg2 Mg 0.000 0.000 0.770
Ge1 Ge 0.500 0.500 0.500
Ir1 Ir 0.500 0.500 0.000
```